Entry 1:
## BaLi4Bi (PBE)

Data for an optimized crystal structure of BaLi4Bi.

Unit cell a=8.584 b=8.584 c=8.584 alpha=90.00 beta=90.00 gamma=90.00
Space group F-43m (No. 216)
Inequivalent atoms, fractional coordinates:
1 Ba 0.000 0.000 0.000 [4 per cell]
2 Li 0.124 0.124 0.376 [16 per cell]
3 Bi 0.250 0.250 0.750 [4 per cell]

Magnetic moment ... 0.503 μB per formula unit
Formation energy ... -222 meV/atom
N(E_F) ... 3.05 states/eV/f.u.

=====

Entry 2:
## ScGeSb3 (PBE)

Data for an optimized crystal structure of ScGeSb3.

Unit cell a=5.295 b=5.295 c=5.295 alpha=90.00 beta=90.00 gamma=90.00
Space group Pm-3m (No. 221)
Inequivalent atoms, fractional coordinates:
1 Sc 0.000 0.000 0.000 [1 per cell]
2 Ge 0.500 0.500 0.500 [1 per cell]
3 Sb 0.000 0.500 0.500 [3 per cell]

Energy relative to the elements, uncorrected ... 46.2 kJ per mole of atoms
Magnetic moment ... 0.000 μB per formula unit
Excess energy over the best structure of this formula in the dataset ... 66 meV/atom
N(E_F) ... 6.08 states/eV/f.u.

=====

Entry 3:
## TaTi3Be (PBE)

Data for an optimized crystal structure of TaTi3Be.

Unit cell a=4.781 b=4.781 c=4.781 alpha=90.00 beta=90.00 gamma=90.00
Space group Pm-3m (No. 221)
Inequivalent atoms, fractional coordinates:
1 Ta 0.000 0.000 0.000 [1 per cell]
2 Ti 0.000 0.000 0.500 [3 per cell]
3 Be 0.500 0.500 0.500 [1 per cell]

Magnetic moment ... 0.000 μB per formula unit
Excess energy over the best structure of this formula in the dataset ... 838 meV/atom
Formation energy ... 1375 meV/atom
N(E_F) ... 6.75 states/eV/f.u.

=====

Entry 4:
## YTa2SnP (PBE)

Data for an optimized crystal structure of YTa2SnP.

Unit cell a=5.017 b=5.017 c=5.471 alpha=90.00 beta=90.00 gamma=90.00
Space group P4/mmm (No. 123)
Inequivalent atoms, fractional coordinates:
1 Y 0.000 0.000 0.000 [1 per cell]
2 Ta 0.000 0.500 0.000 [2 per cell]
3 Sn 0.000 0.000 0.500 [1 per cell]
4 P 0.500 0.500 0.500 [1 per cell]

Magnetic moment ... 0.000 μB per formula unit
Formation energy ... 2215 meV/atom
N(E_F) ... 4.43 states/eV/f.u.

=====

Entry 5:
## MoPt2 (PBE)

Data for an optimized crystal structure of MoPt2.

Unit cell a=4.4808 b=4.4808 c=5.4964 alpha=90.00 beta=90.00 gamma=120.00
Space group P6_3/mmc (No. 194)
Inequivalent atoms, fractional coordinates:
1 Mo 0.3333 0.6667 0.2500 [2 per cell]
2 Pt 0.0000 0.0000 0.0000 [2 per cell]
3 Pt 0.3333 0.6667 0.7500 [2 per cell]

Magnetic moment ... 0.001 μB per formula unit
Excess energy over the best structure of this formula in the dataset ... 290 meV/atom
Formation energy ... -90 meV/atom
N(E_F) ... 2.82 states/eV/f.u.

=====

Entry 6:
## ZrCuP2Cl (PBE)

Data for an optimized crystal structure of ZrCuP2Cl.

Unit cell a=5.063 b=5.063 c=4.975 alpha=90.00 beta=90.00 gamma=90.00
Space group P4/mmm (No. 123)
Inequivalent atoms, fractional coordinates:
1 Zr 0.000 0.000 0.000 [1 per cell]
2 Cu 0.500 0.500 0.500 [1 per cell]
3 P 0.000 0.500 0.000 [2 per cell]
4 Cl 0.000 0.000 0.500 [1 per cell]

Energy relative to the elements, uncorrected ... 25.6 kJ per mole of atoms
Magnetic moment ... 0.000 μB per formula unit
Excess energy over the best structure of this formula in the dataset ... 30 meV/atom
N(E_F) ... 4.26 states/eV/f.u.

=====

Question: N(E_F) of number 5 (MoPt2)?
Answer: 2.82 states/eV/f.u.